No. 1
OsCl4O: relaxed, PBEsol.

## Properties
Energy relative to the elements, uncorrected in eV per atom: -0.446
Size of the total moment in μB per cell: 0.00
E in eV/f.u.: -28.2
SG: P2_1/c (14)

Cell lengths 9.4656, 5.7044, 12.0566 Å; angles 90.00, 109.26, 90.00 degrees
With the nearest neighbours (Å) after each atom.
Sites, in units of the cell vectors:
1 Os 0.2309 0.1181 0.4711  1 O 1.67
2 Os 0.2309 0.3819 0.9711  1 O 1.67
3 Os 0.7691 0.6181 0.0289  1 O 1.67
4 Os 0.7691 0.8819 0.5289  1 O 1.67
5 Cl 0.1145 0.6669 0.8440  1 Os 2.26
6 Cl 0.1145 0.8331 0.3440  1 Os 2.26
7 Cl 0.2667 0.6642 0.1086  1 Os 2.26
8 Cl 0.2667 0.8358 0.6086  1 Os 2.26
9 Cl 0.3034 0.2492 0.8226  1 Os 2.25
10 Cl 0.3034 0.2508 0.3226  1 Os 2.25
11 Cl 0.4543 0.2456 0.0869  1 Os 2.25
12 Cl 0.4543 0.2544 0.5869  1 Os 2.25
13 Cl 0.5457 0.7456 0.4131  1 Os 2.25
14 Cl 0.5457 0.7544 0.9131  1 Os 2.25
15 Cl 0.6966 0.7492 0.6774  1 Os 2.25
16 Cl 0.6966 0.7508 0.1774  1 Os 2.25
17 Cl 0.7333 0.1642 0.3914  1 Os 2.26
18 Cl 0.7333 0.3358 0.8914  1 Os 2.26
19 Cl 0.8855 0.1669 0.6560  1 Os 2.26
20 Cl 0.8855 0.3331 0.1560  1 Os 2.26
21 O 0.1000 0.1982 0.9850  1 Os 1.67
22 O 0.1000 0.3018 0.4850  1 Os 1.67
23 O 0.9000 0.6982 0.5150  1 Os 1.67
24 O 0.9000 0.8018 0.0150  1 Os 1.67

No. 2
OsCl3O: relaxed, PBEsol.

## Properties
Energy relative to the elements, uncorrected in eV per atom: 0.709
Size of the total moment in μB per cell: 0.36
E in eV/f.u.: -19.9
SG: Pm-3m (221)

Cell lengths 4.6468, 4.6468, 4.6468 Å; angles 90.00, 90.00, 90.00 degrees
With the nearest neighbours (Å) after each atom.
Sites, in units of the cell vectors:
1 Os 0.0000 0.0000 0.0000  6 Cl 2.32
2 Cl 0.0000 0.0000 0.5000  2 Os 2.32
3 Cl 0.0000 0.5000 0.0000  2 Os 2.32
4 Cl 0.5000 0.0000 0.0000  2 Os 2.32
5 O 0.5000 0.5000 0.5000  12 Cl 3.29